1.
Density functional theory data (PBE) for a geometry-optimized LiLaAl2Fe structure.

a b c (Å): 4.570 4.570 4.749
angles (deg): 90.00 90.00 90.00
Fractional coordinates of all 5 atoms:
1 Al 0.000 0.500 0.000
2 Al 0.500 0.000 0.000
3 Li 0.000 0.000 0.500
4 Fe 0.000 0.000 0.000
5 La 0.500 0.500 0.500

2.
Density functional theory data (PBE) for a geometry-optimized LaMgAl2Fe structure.

a b c (Å): 4.614 4.614 4.800
angles (deg): 90.00 90.00 90.00
Fractional coordinates of all 5 atoms:
1 Mg 0.000 0.000 0.500
2 Al 0.000 0.500 0.000
3 Al 0.500 0.000 0.000
4 Fe 0.000 0.000 0.000
5 La 0.500 0.500 0.500

3.
Density functional theory data (PBE) for a geometry-optimized La2MgAl12Fe3 structure.

a b c (Å): 8.057 8.057 8.057
angles (deg): 64.64 64.64 64.64
Fractional coordinates of all 18 atoms:
1 La 0.581 0.581 0.581
2 La 0.419 0.419 0.419
3 Mg 0.000 0.000 0.000
4 Al 0.266 0.266 0.930
5 Al 0.848 0.848 0.453
6 Al 0.453 0.848 0.848
7 Al 0.930 0.266 0.266
8 Al 0.848 0.453 0.848
9 Al 0.266 0.930 0.266
10 Al 0.734 0.734 0.070
11 Al 0.152 0.152 0.547
12 Al 0.547 0.152 0.152
13 Al 0.070 0.734 0.734
14 Al 0.152 0.547 0.152
15 Al 0.734 0.070 0.734
16 Fe 0.500 0.000 0.000
17 Fe 0.000 0.500 0.000
18 Fe 0.000 0.000 0.500

4.
Density functional theory data (PBE) for a geometry-optimized La2MnAlFe structure.

a b c (Å): 5.381 4.201 5.381
angles (deg): 90.00 90.00 90.00
Site moments in Bohr magnetons follow the coordinates.
Fractional coordinates of all 5 atoms:
1 Al 0.500 0.500 0.500  -0.02
2 Mn 0.000 0.000 0.000  0.08
3 Fe 0.000 0.500 0.000  1.47
4 La 0.000 0.000 0.500  -0.04
5 La 0.500 0.000 0.000  -0.05

5.
Density functional theory data (PBE) for a geometry-optimized La2AlFeMo structure.

a b c (Å): 5.645 4.627 5.645
angles (deg): 90.00 90.00 90.00
Site moments in Bohr magnetons follow the coordinates.
Fractional coordinates of all 5 atoms:
1 Mo 0.000 0.500 0.000  1.10
2 Al 0.000 0.000 0.000  -0.01
3 Fe 0.500 0.500 0.500  0.01
4 La 0.000 0.000 0.500  0.02
5 La 0.500 0.000 0.000  0.02

6.
Density functional theory data (PBE) for a geometry-optimized LaAl6FeNi structure.

a b c (Å): 7.552 8.763 7.896
angles (deg): 123.71 118.57 90.00
Fractional coordinates of all 18 atoms:
1 La 0.700 0.450 0.399
2 La 0.300 0.550 0.601
3 Al 0.601 0.851 0.202
4 Al 0.900 0.150 0.801
5 Al 0.892 0.104 0.246
6 Al 0.354 0.642 0.246
7 Al 0.354 0.104 0.246
8 Al 0.892 0.642 0.246
9 Al 0.399 0.149 0.798
10 Al 0.100 0.850 0.199
11 Al 0.108 0.896 0.754
12 Al 0.646 0.358 0.754
13 Al 0.646 0.896 0.754
14 Al 0.108 0.358 0.754
15 Fe 0.500 0.500 0.000
16 Fe 0.500 0.000 0.000
17 Ni 0.500 0.000 0.500
18 Ni 0.000 0.000 0.500

7.
Density functional theory data (PBE) for a geometry-optimized La6Al4Fe9P structure.

a b c (Å): 12.965 12.965 12.965
angles (deg): 143.33 143.33 52.82
Site moments in Bohr magnetons follow the coordinates.
Fractional coordinates of all 40 atoms:
1 La 0.865 0.365 0.846  0.07
2 La 0.135 0.635 0.154  0.07
3 La 0.519 0.019 0.154  0.07
4 La 0.365 0.519 0.500  0.07
5 La 0.981 0.135 0.500  0.07
6 La 0.481 0.981 0.846  0.07
7 La 0.635 0.481 0.500  0.07
8 La 0.019 0.865 0.500  0.07
9 La 0.109 0.109 0.000  0.19
10 La 0.891 0.891 0.000  0.19
11 La 0.391 0.391 0.000  0.19
12 La 0.609 0.609 0.000  0.19
13 Al 0.213 0.713 0.737  0.04
14 Al 0.787 0.287 0.263  0.04
15 Al 0.975 0.475 0.263  0.04
16 Al 0.713 0.975 0.500  0.04
17 Al 0.525 0.787 0.500  0.04
18 Al 0.025 0.525 0.737  0.04
19 Al 0.287 0.025 0.500  0.04
20 Al 0.475 0.213 0.500  0.04
21 Fe 0.210 0.069 0.279  -2.11
22 Fe 0.790 0.931 0.721  -2.11
23 Fe 0.069 0.790 0.859  -2.11
24 Fe 0.710 0.431 0.141  -2.11
25 Fe 0.931 0.210 0.141  -2.11
26 Fe 0.290 0.569 0.859  -2.11
27 Fe 0.569 0.710 0.279  -2.11
28 Fe 0.431 0.290 0.721  -2.11
29 Fe 0.733 0.233 0.851  -1.80
30 Fe 0.267 0.767 0.149  -1.80
31 Fe 0.382 0.882 0.149  -1.80
32 Fe 0.233 0.382 0.500  -1.80
33 Fe 0.118 0.267 0.500  -1.80
34 Fe 0.618 0.118 0.851  -1.80
35 Fe 0.767 0.618 0.500  -1.80
36 Fe 0.882 0.733 0.500  -1.80
37 Fe 0.500 0.000 0.500  -1.71
38 Fe 0.000 0.500 0.500  -1.71
39 P 0.250 0.250 0.000  0.00
40 P 0.750 0.750 0.000  0.00

8.
Density functional theory data (PBE) for a geometry-optimized La2AlFePb structure.

a b c (Å): 5.178 5.178 4.817
angles (deg): 90.00 90.00 90.00
Site moments in Bohr magnetons follow the coordinates.
Fractional coordinates of all 5 atoms:
1 Pb 0.500 0.500 0.500  0.00
2 Al 0.000 0.000 0.500  0.00
3 Fe 0.000 0.000 0.000  0.06
4 La 0.000 0.500 0.000  0.00
5 La 0.500 0.000 0.000  0.00

| no. | energy relative to the elements (meV per atom) | density (g cm⁻³) | M_tot (μB/atom) |
| --- | --- | --- | --- |
| 1 | -147 | 4.28 | 0.00 |
| 2 | -251 | 4.44 | 0.00 |
| 3 | 207 | 3.23 | 0.00 |
| 4 | 347 | 5.67 | 0.25 |
| 5 | 1320 | 5.14 | 0.32 |
| 6 | -63 | 3.88 | 0.00 |
| 7 | -320 | 6.34 | 0.78 |
| 8 | -300 | 7.30 | 0.01 |